Entry 1:
{"formula": "Al6GaAg2", "functional": "PBE", "state": "relaxed", "space_group": "No. 2", "crystal_system": "triclinic", "e_form_ev_per_atom": 0.0305, "e_above_lowest_polymorph_ev_per_atom": 0.000, "cell": [[4.1417, 0.0000, 0.0000], [1.8733, 6.0526, 0.0000], [1.8222, -0.1526, 6.1567]], "species": ["Al", "Al", "Al", "Al", "Al", "Al", "Ga", "Ag", "Ag"], "fractional_positions": [[0.1637, 0.3329, 0.3332], [0.1694, 0.6653, 0.9983], [0.1746, 0.0005, 0.6617], [0.8254, 0.9995, 0.3383], [0.8306, 0.3347, 0.0017], [0.8363, 0.6671, 0.6668], [0.5000, 0.0000, 0.0000], [0.4914, 0.6657, 0.3344], [0.5086, 0.3343, 0.6656]]}



Entry 2:
{"formula": "AlGa3Ag", "functional": "PBE", "state": "relaxed", "space_group": "No. 221", "crystal_system": "cubic", "e_form_ev_per_atom": 0.4378, "e_above_lowest_polymorph_ev_per_atom": 0.425, "cell": [[4.9445, 0.0000, 0.0000], [0.0000, 4.9445, 0.0000], [0.0000, 0.0000, 4.9445]], "species": ["Al", "Ga", "Ga", "Ga", "Ag"], "fractional_positions": [[0.0000, 0.0000, 0.0000], [0.0000, 0.0000, 0.5000], [0.0000, 0.5000, 0.0000], [0.5000, 0.0000, 0.0000], [0.5000, 0.5000, 0.5000]]}



Entry 3:
{"formula": "AlGa12Ag6", "functional": "PBE", "state": "relaxed", "space_group": "No. 148", "crystal_system": "trigonal", "e_form_ev_per_atom": 0.0490, "e_above_lowest_polymorph_ev_per_atom": 0.000, "cell": [[4.8628, 2.8075, 4.3451], [-4.8628, 2.8075, 4.3451], [0.0000, -5.6150, 4.3451]], "species": ["Al", "Ga", "Ga", "Ga", "Ga", "Ga", "Ga", "Ga", "Ga", "Ga", "Ga", "Ga", "Ga", "Ag", "Ag", "Ag", "Ag", "Ag", "Ag"], "fractional_positions": [[0.0000, 0.0000, 0.0000], [0.0463, 0.3722, 0.1501], [0.1501, 0.0463, 0.3722], [0.2059, 0.5600, 0.4678], [0.3722, 0.1501, 0.0463], [0.4400, 0.5322, 0.7941], [0.4678, 0.2059, 0.5600], [0.5322, 0.7941, 0.4400], [0.5600, 0.4678, 0.2059], [0.6278, 0.8499, 0.9537], [0.7941, 0.4400, 0.5322], [0.8499, 0.9537, 0.6278], [0.9537, 0.6278, 0.8499], [0.1174, 0.2800, 0.7457], [0.2543, 0.8826, 0.7200], [0.2800, 0.7457, 0.1174], [0.7200, 0.2543, 0.8826], [0.7457, 0.1174, 0.2800], [0.8826, 0.7200, 0.2543]]}



Entry 4:
{"formula": "Al2Ga2Ag", "functional": "PBE", "state": "relaxed", "space_group": "No. 127", "crystal_system": "tetragonal", "e_form_ev_per_atom": 0.1150, "e_above_lowest_polymorph_ev_per_atom": 0.093, "cell": [[7.7444, 0.0000, 0.0000], [0.0000, 7.7444, 0.0000], [0.0000, 0.0000, 3.0468]], "species": ["Al", "Al", "Al", "Al", "Ga", "Ga", "Ga", "Ga", "Ag", "Ag"], "fractional_positions": [[0.1274, 0.3726, 0.0000], [0.3726, 0.8726, 0.0000], [0.6274, 0.1274, 0.0000], [0.8726, 0.6274, 0.0000], [0.1723, 0.6723, 0.5000], [0.3277, 0.1723, 0.5000], [0.6723, 0.8277, 0.5000], [0.8277, 0.3277, 0.5000], [0.0000, 0.0000, 0.0000], [0.5000, 0.5000, 0.0000]]}



Entry 5:
{"formula": "Al5Ga8Ag", "functional": "PBE", "state": "relaxed", "space_group": "No. 82", "crystal_system": "tetragonal", "e_form_ev_per_atom": 0.0690, "cell": [[-4.3213, 4.3213, 3.5309], [4.3213, -4.3213, 3.5309], [4.3213, 4.3213, -3.5309]], "species": ["Al", "Al", "Al", "Al", "Al", "Ga", "Ga", "Ga", "Ga", "Ga", "Ga", "Ga", "Ga", "Ag"], "fractional_positions": [[0.0000, 0.0000, 0.0000], [0.2333, 0.4936, 0.9710], [0.5064, 0.4774, 0.7397], [0.5226, 0.2623, 0.0290], [0.7377, 0.7667, 0.2603], [0.0267, 0.4263, 0.2878], [0.0696, 0.0792, 0.6625], [0.1385, 0.7389, 0.7122], [0.2611, 0.9733, 0.3996], [0.4167, 0.4070, 0.3375], [0.5737, 0.8615, 0.6004], [0.5930, 0.9304, 0.0096], [0.9208, 0.5833, 0.9904], [0.7500, 0.2500, 0.5000]]}



Entry 6:
{"formula": "Al2GaAg4", "functional": "PBE", "state": "relaxed", "space_group": "No. 1", "crystal_system": "triclinic", "e_form_ev_per_atom": -0.0283, "e_above_lowest_polymorph_ev_per_atom": 0.000, "cell": [[2.9547, 0.0000, 0.0000], [1.4266, 2.5964, 0.0000], [0.0590, -0.0220, 15.7287]], "species": ["Al", "Al", "Ga", "Ag", "Ag", "Ag", "Ag"], "fractional_positions": [[0.0000, 0.0000, 0.0000], [0.0061, 0.0092, 0.7181], [0.9954, 0.9955, 0.2855], [0.3333, 0.3205, 0.1396], [0.3336, 0.3337, 0.4282], [0.6674, 0.6801, 0.8586], [0.6734, 0.6714, 0.5812]]}



Entry 7:
{"formula": "Al2Ga8Ag3", "functional": "PBE", "state": "relaxed", "space_group": "No. 12", "crystal_system": "monoclinic", "e_form_ev_per_atom": 0.0485, "cell": [[6.1750, -4.4009, 0.0000], [6.1750, 4.4009, 0.0000], [-0.5679, 0.0000, 4.4698]], "species": ["Al", "Al", "Ga", "Ga", "Ga", "Ga", "Ga", "Ga", "Ga", "Ga", "Ag", "Ag", "Ag"], "fractional_positions": [[0.1826, 0.1826, 0.3059], [0.8174, 0.8174, 0.6941], [0.0620, 0.0620, 0.7700], [0.1226, 0.5720, 0.4099], [0.3257, 0.3257, 0.8974], [0.4280, 0.8774, 0.5901], [0.5720, 0.1226, 0.4099], [0.6743, 0.6743, 0.1026], [0.8774, 0.4280, 0.5901], [0.9380, 0.9380, 0.2300], [0.2814, 0.7186, 0.0000], [0.5000, 0.5000, 0.5000], [0.7186, 0.2814, 0.0000]]}



Entry 8:
{"formula": "Al3Ga4Ag2", "functional": "PBE", "state": "relaxed", "space_group": "No. 12", "crystal_system": "monoclinic", "e_form_ev_per_atom": 0.0508, "cell": [[7.9562, -1.7318, 0.0000], [7.9562, 1.7318, 0.0000], [-1.7869, 0.0000, 5.9589]], "species": ["Al", "Al", "Al", "Ga", "Ga", "Ga", "Ga", "Ag", "Ag"], "fractional_positions": [[0.0000, 0.0000, 0.0000], [0.1818, 0.1818, 0.0482], [0.8182, 0.8182, 0.9518], [0.2083, 0.2083, 0.6368], [0.4285, 0.4285, 0.2718], [0.5715, 0.5715, 0.7282], [0.7917, 0.7917, 0.3632], [0.3935, 0.3935, 0.6868], [0.6065, 0.6065, 0.3132]]}



Entry 9:
{"formula": "Al6GaAg", "functional": "PBE", "state": "relaxed", "space_group": "No. 2", "crystal_system": "triclinic", "e_form_ev_per_atom": 0.0859, "e_above_lowest_polymorph_ev_per_atom": 0.011, "cell": [[5.2291, 0.0000, 0.0000], [0.9067, 5.1591, 0.0000], [0.7902, 0.6458, 5.2011]], "species": ["Al", "Al", "Al", "Al", "Al", "Al", "Ga", "Ag"], "fractional_positions": [[0.0065, 0.4974, 0.2494], [0.2474, 0.0140, 0.5015], [0.4891, 0.2512, 0.0051], [0.5109, 0.7488, 0.9949], [0.7526, 0.9860, 0.4985], [0.9935, 0.5026, 0.7506], [0.0000, 0.0000, 0.0000], [0.5000, 0.5000, 0.5000]]}



Entry 10:
{"formula": "AlGa6Ag12", "functional": "PBE", "state": "relaxed", "space_group": "No. 148", "crystal_system": "trigonal", "e_form_ev_per_atom": 0.0080, "e_above_lowest_polymorph_ev_per_atom": 0.010, "cell": [[5.8808, 3.3953, 2.8972], [-5.8808, 3.3953, 2.8972], [0.0000, -6.7906, 2.8972]], "species": ["Al", "Ga", "Ga", "Ga", "Ga", "Ga", "Ga", "Ag", "Ag", "Ag", "Ag", "Ag", "Ag", "Ag", "Ag", "Ag", "Ag", "Ag", "Ag"], "fractional_positions": [[0.0000, 0.0000, 0.0000], [0.2564, 0.6796, 0.3873], [0.3204, 0.6127, 0.7436], [0.3873, 0.2564, 0.6796], [0.6127, 0.7436, 0.3204], [0.6796, 0.3873, 0.2564], [0.7436, 0.3204, 0.6127], [0.0015, 0.1342, 0.6813], [0.0862, 0.3006, 0.3809], [0.1342, 0.6813, 0.0015], [0.3006, 0.3809, 0.0862], [0.3187, 0.9985, 0.8658], [0.3809, 0.0862, 0.3006], [0.6191, 0.9138, 0.6994], [0.6813, 0.0015, 0.1342], [0.6994, 0.6191, 0.9138], [0.8658, 0.3187, 0.9985], [0.9138, 0.6994, 0.6191], [0.9985, 0.8658, 0.3187]]}



Entry 11:
{"formula": "Al2GaAg2", "functional": "PBE", "state": "relaxed", "space_group": "No. 139", "crystal_system": "tetragonal", "e_form_ev_per_atom": 0.1268, "e_above_lowest_polymorph_ev_per_atom": 0.136, "cell": [[3.8709, 0.0000, 0.0000], [0.0000, 3.8709, 0.0000], [0.0000, 0.0000, 12.8553]], "species": ["Al", "Al", "Al", "Al", "Ga", "Ga", "Ag", "Ag", "Ag", "Ag"], "fractional_positions": [[0.0000, 0.0000, 0.0995], [0.0000, 0.0000, 0.9005], [0.5000, 0.5000, 0.4005], [0.5000, 0.5000, 0.5995], [0.0000, 0.0000, 0.5000], [0.5000, 0.5000, 0.0000], [0.0000, 0.5000, 0.2500], [0.0000, 0.5000, 0.7500], [0.5000, 0.0000, 0.2500], [0.5000, 0.0000, 0.7500]]}



Entry 12:
{"formula": "Al14GaAg", "functional": "PBE", "state": "relaxed", "space_group": "No. 38", "crystal_system": "orthorhombic", "e_form_ev_per_atom": 0.0110, "cell": [[9.4892, 0.0000, 0.0000], [0.0000, 2.8600, 4.9442], [0.0000, -2.8600, 4.9442]], "species": ["Al", "Al", "Al", "Al", "Al", "Al", "Al", "Al", "Al", "Al", "Al", "Al", "Al", "Al", "Ga", "Ag"], "fractional_positions": [[0.0000, 0.0000, 0.0000], [0.0000, 0.9996, 0.4993], [0.0000, 0.4993, 0.9996], [0.0000, 0.4998, 0.4998], [0.2493, 0.1660, 0.1660], [0.2498, 0.1703, 0.6650], [0.2498, 0.6650, 0.1703], [0.2515, 0.6638, 0.6638], [0.5000, 0.3318, 0.8363], [0.5000, 0.8363, 0.3318], [0.7485, 0.6638, 0.6638], [0.7502, 0.1703, 0.6650], [0.7502, 0.6650, 0.1703], [0.7507, 0.1660, 0.1660], [0.5000, 0.3331, 0.3331], [0.5000, 0.8333, 0.8333]]}



Entry 13:
{"formula": "AlGaAg", "functional": "PBE", "state": "relaxed", "space_group": "No. 107", "crystal_system": "tetragonal", "e_form_ev_per_atom": 0.0106, "cell": [[2.9050, 0.0000, 0.0000], [0.0000, 2.9050, 0.0000], [0.0000, 0.0000, 12.4153]], "species": ["Al", "Al", "Ga", "Ga", "Ag", "Ag"], "fractional_positions": [[0.0000, 0.0000, 0.0000], [0.5000, 0.5000, 0.5000], [0.0000, 0.0000, 0.3322], [0.5000, 0.5000, 0.8322], [0.0000, 0.0000, 0.6563], [0.5000, 0.5000, 0.1563]]}



Entry 14:
{"formula": "AlGa4Ag7", "functional": "PBE", "state": "relaxed", "space_group": "No. 12", "crystal_system": "monoclinic", "e_form_ev_per_atom": 0.1119, "cell": [[5.1274, -2.5228, 0.0000], [5.1274, 2.5228, 0.0000], [-4.6398, 0.0000, 8.8307]], "species": ["Al", "Ga", "Ga", "Ga", "Ga", "Ag", "Ag", "Ag", "Ag", "Ag", "Ag", "Ag"], "fractional_positions": [[0.0000, 0.0000, 0.0000], [0.1566, 0.1566, 0.6183], [0.3299, 0.3299, 0.2289], [0.6701, 0.6701, 0.7711], [0.8434, 0.8434, 0.3817], [0.0905, 0.0905, 0.3015], [0.2062, 0.2062, 0.9146], [0.3815, 0.3815, 0.5406], [0.5000, 0.5000, 0.0000], [0.6185, 0.6185, 0.4594], [0.7938, 0.7938, 0.0854], [0.9095, 0.9095, 0.6985]]}



Entry 15:
{"formula": "AlGa6Ag8", "functional": "PBE", "state": "relaxed", "space_group": "No. 147", "crystal_system": "trigonal", "e_form_ev_per_atom": 0.0356, "e_above_lowest_polymorph_ev_per_atom": 0.000, "cell": [[7.6512, 0.0000, 0.0000], [-3.8256, 6.6261, 0.0000], [0.0000, 0.0000, 5.4754]], "species": ["Al", "Ga", "Ga", "Ga", "Ga", "Ga", "Ga", "Ag", "Ag", "Ag", "Ag", "Ag", "Ag", "Ag", "Ag"], "fractional_positions": [[0.0000, 0.0000, 0.0000], [0.9996, 0.3777, 0.1735], [0.0004, 0.6223, 0.8265], [0.3782, 0.0004, 0.1735], [0.3777, 0.3782, 0.8265], [0.6218, 0.9996, 0.8265], [0.6223, 0.6218, 0.1735], [0.0006, 0.7190, 0.3202], [0.2810, 0.2816, 0.3202], [0.2816, 0.0006, 0.6798], [0.3333, 0.6667, 0.5016], [0.6667, 0.3333, 0.4984], [0.7184, 0.9994, 0.3202], [0.7190, 0.7184, 0.6798], [0.9994, 0.2810, 0.6798]]}



Entry 16:
{"formula": "Al2Ga3Ag", "functional": "PBE", "state": "relaxed", "space_group": "No. 26", "crystal_system": "orthorhombic", "e_form_ev_per_atom": 0.0661, "e_above_lowest_polymorph_ev_per_atom": 0.031, "cell": [[4.2054, 0.0000, 0.0000], [0.0000, 9.7774, 0.0000], [0.0000, 0.0000, 5.4111]], "species": ["Al", "Al", "Al", "Al", "Ga", "Ga", "Ga", "Ga", "Ga", "Ga", "Ag", "Ag"], "fractional_positions": [[0.0000, 0.0463, 0.0000], [0.0000, 0.9537, 0.5000], [0.5000, 0.2808, 0.9487], [0.5000, 0.7192, 0.4487], [0.0000, 0.2371, 0.6385], [0.0000, 0.4462, 0.0922], [0.0000, 0.5538, 0.5922], [0.0000, 0.7629, 0.1385], [0.5000, 0.0974, 0.3167], [0.5000, 0.9026, 0.8167], [0.5000, 0.3815, 0.4343], [0.5000, 0.6185, 0.9343]]}



Entry 17:
{"formula": "AlGa2Ag2", "functional": "PBE", "state": "relaxed", "space_group": "No. 139", "crystal_system": "tetragonal", "e_form_ev_per_atom": 0.1719, "e_above_lowest_polymorph_ev_per_atom": 0.059, "cell": [[3.8844, 0.0000, 0.0000], [0.0000, 3.8844, 0.0000], [0.0000, 0.0000, 12.7640]], "species": ["Al", "Al", "Ga", "Ga", "Ga", "Ga", "Ag", "Ag", "Ag", "Ag"], "fractional_positions": [[0.0000, 0.0000, 0.0000], [0.5000, 0.5000, 0.5000], [0.0000, 0.0000, 0.4023], [0.0000, 0.0000, 0.5977], [0.5000, 0.5000, 0.0977], [0.5000, 0.5000, 0.9023], [0.0000, 0.5000, 0.2500], [0.0000, 0.5000, 0.7500], [0.5000, 0.0000, 0.2500], [0.5000, 0.0000, 0.7500]]}



Entry 18:
{"formula": "AlGa2Ag2", "functional": "PBE", "state": "relaxed", "space_group": "No. 127", "crystal_system": "tetragonal", "e_form_ev_per_atom": 0.1181, "e_above_lowest_polymorph_ev_per_atom": 0.005, "cell": [[7.8646, 0.0000, 0.0000], [0.0000, 7.8646, 0.0000], [0.0000, 0.0000, 3.0253]], "species": ["Al", "Al", "Ga", "Ga", "Ga", "Ga", "Ag", "Ag", "Ag", "Ag"], "fractional_positions": [[0.0000, 0.0000, 0.0000], [0.5000, 0.5000, 0.0000], [0.1736, 0.3264, 0.5000], [0.3264, 0.8264, 0.5000], [0.6736, 0.1736, 0.5000], [0.8264, 0.6736, 0.5000], [0.1283, 0.6283, 0.0000], [0.3717, 0.1283, 0.0000], [0.6283, 0.8717, 0.0000], [0.8717, 0.3717, 0.0000]]}



Entry 19:
{"formula": "Al3GaAg6", "functional": "PBE", "state": "relaxed", "space_group": "No. 12", "crystal_system": "monoclinic", "e_form_ev_per_atom": 0.2079, "cell": [[6.6325, -2.6919, 0.0000], [6.6325, 2.6919, 0.0000], [-3.4723, 0.0000, 5.9638]], "species": ["Al", "Al", "Al", "Ga", "Ag", "Ag", "Ag", "Ag", "Ag", "Ag"], "fractional_positions": [[0.0000, 0.0000, 0.0000], [0.2430, 0.2430, 0.7740], [0.7570, 0.7570, 0.2260], [0.5000, 0.5000, 0.5000], [0.1263, 0.6268, 0.6302], [0.2445, 0.2445, 0.1478], [0.3732, 0.8737, 0.3698], [0.6268, 0.1263, 0.6302], [0.7555, 0.7555, 0.8522], [0.8737, 0.3732, 0.3698]]}



Entry 20:
{"formula": "AlGa3Ag", "functional": "PBE", "state": "relaxed", "space_group": "No. 11", "crystal_system": "monoclinic", "e_form_ev_per_atom": 0.0396, "e_above_lowest_polymorph_ev_per_atom": 0.027, "cell": [[2.8548, 0.0000, 0.0000], [0.0000, 9.9979, 0.0000], [-0.0010, 0.0000, 6.5072]], "species": ["Al", "Al", "Ga", "Ga", "Ga", "Ga", "Ga", "Ga", "Ag", "Ag"], "fractional_positions": [[0.0013, 0.2500, 0.4007], [0.9987, 0.7500, 0.5993], [0.4991, 0.5884, 0.3402], [0.4989, 0.7500, 0.9583], [0.4991, 0.9116, 0.3402], [0.5009, 0.0884, 0.6598], [0.5011, 0.2500, 0.0417], [0.5009, 0.4116, 0.6598], [0.0000, 0.0000, 0.0000], [0.0000, 0.5000, 0.0000]]}



Entry 21:
{"formula": "Al2Ga3Ag4", "functional": "PBE", "state": "relaxed", "space_group": "No. 15", "crystal_system": "monoclinic", "e_form_ev_per_atom": 0.0182, "e_above_lowest_polymorph_ev_per_atom": 0.012, "cell": [[6.0416, -5.1487, 0.0000], [6.0416, 5.1487, 0.0000], [-0.1290, 0.0000, 5.1317]], "species": ["Al", "Al", "Al", "Al", "Ga", "Ga", "Ga", "Ga", "Ga", "Ga", "Ag", "Ag", "Ag", "Ag", "Ag", "Ag", "Ag", "Ag"], "fractional_positions": [[0.1092, 0.3175, 0.0582], [0.3175, 0.1092, 0.5582], [0.6825, 0.8908, 0.4418], [0.8908, 0.6825, 0.9418], [0.0243, 0.9757, 0.7500], [0.3008, 0.4448, 0.5072], [0.4448, 0.3008, 0.0072], [0.5552, 0.6992, 0.9928], [0.6992, 0.5552, 0.4928], [0.9757, 0.0243, 0.2500], [0.0163, 0.6822, 0.4431], [0.2335, 0.6261, 0.9875], [0.3178, 0.9837, 0.0569], [0.3739, 0.7665, 0.5125], [0.6261, 0.2335, 0.4875], [0.6822, 0.0163, 0.9431], [0.7665, 0.3739, 0.0125], [0.9837, 0.3178, 0.5569]]}



Entry 22:
{"formula": "AlGaAg2", "functional": "PBE", "state": "relaxed", "space_group": "No. 225", "crystal_system": "cubic", "e_form_ev_per_atom": 0.0671, "e_above_lowest_polymorph_ev_per_atom": 0.114, "cell": [[6.5423, 0.0000, 0.0000], [0.0000, 6.5423, 0.0000], [0.0000, 0.0000, 6.5423]], "species": ["Al", "Al", "Al", "Al", "Ga", "Ga", "Ga", "Ga", "Ag", "Ag", "Ag", "Ag", "Ag", "Ag", "Ag", "Ag"], "fractional_positions": [[0.0000, 0.0000, 0.0000], [0.0000, 0.5000, 0.5000], [0.5000, 0.0000, 0.5000], [0.5000, 0.5000, 0.0000], [0.0000, 0.0000, 0.5000], [0.0000, 0.5000, 0.0000], [0.5000, 0.0000, 0.0000], [0.5000, 0.5000, 0.5000], [0.2500, 0.2500, 0.2500], [0.2500, 0.2500, 0.7500], [0.2500, 0.7500, 0.2500], [0.2500, 0.7500, 0.7500], [0.7500, 0.2500, 0.2500], [0.7500, 0.2500, 0.7500], [0.7500, 0.7500, 0.2500], [0.7500, 0.7500, 0.7500]]}